No. 1
Compound: Bi2RhO6
Source: Alexandria
Functional: PBE
Structure: optimized geometry

energy above the lowest structure with this stoichiometry: 0.0000 eV/atom
raw formation energy: -0.704 eV/atom
total DFT energy (no corrections): -5.689 eV per atom

a b c (Å): 6.4623 6.4623 6.4623
angles (deg): 145.48 130.96 61.35
With the nearest neighbours (Å) after each atom.
Fractional positions:
Bi  0.1636  0.1636  0.0000  8 O 2.38-2.45
Bi  0.8364  0.8364  0.0000  8 O 2.38-2.45
Rh  0.5000  0.5000  0.0000  8 O 2.09-2.23
O  0.1134  0.3514  0.7620  1 Rh 2.09
O  0.2879  0.0000  0.2879  2 Rh 2.23, 1 O 2.27, 2 Bi 2.39
O  0.4105  0.6486  0.7620  1 Rh 2.09
O  0.5895  0.3514  0.2380  1 Rh 2.09
O  0.7121  0.0000  0.7121  2 Rh 2.23, 1 O 2.27, 2 Bi 2.39
O  0.8866  0.6486  0.2380  1 Rh 2.09

No. 2
Compound: K6Rb12Pd
Source: Alexandria
Functional: PBE
Structure: optimized geometry

energy of formation from the pure elements: 37 kJ/mol of formula units
total DFT energy (no corrections): -1.211 eV per atom

a b c (Å): 11.6856 11.6856 11.6856
angles (deg): 78.16 78.16 78.16
With the nearest neighbours (Å) after each atom.
Fractional positions:
K  0.1280  0.8200  0.8200  1 Pd 3.21
K  0.1800  0.1800  0.8720  1 Pd 3.21
K  0.1800  0.8720  0.1800  1 Pd 3.21
K  0.8200  0.1280  0.8200  1 Pd 3.21
K  0.8200  0.8200  0.1280  1 Pd 3.21
K  0.8720  0.1800  0.1800  1 Pd 3.21
Rb  0.1369  0.1369  0.4768  7 Rb 4.85-5.01, 5 K 4.87-4.99
Rb  0.1369  0.4768  0.1369  7 Rb 4.85-5.01, 5 K 4.87-4.99
Rb  0.1934  0.5321  0.5321  9 Rb 4.84-4.99, 3 K 5.07-5.10
Rb  0.4679  0.4679  0.8066  9 Rb 4.84-4.99, 3 K 5.07-5.10
Rb  0.4679  0.8066  0.4679  9 Rb 4.84-4.99, 3 K 5.07-5.10
Rb  0.4768  0.1369  0.1369  7 Rb 4.85-5.01, 5 K 4.87-4.99
Rb  0.5232  0.8631  0.8631  7 Rb 4.85-5.01, 5 K 4.87-4.99
Rb  0.5321  0.1934  0.5321  9 Rb 4.84-4.99, 3 K 5.07-5.10
Rb  0.5321  0.5321  0.1934  9 Rb 4.84-4.99, 3 K 5.07-5.10
Rb  0.8066  0.4679  0.4679  9 Rb 4.84-4.99, 3 K 5.07-5.10
Rb  0.8631  0.5232  0.8631  7 Rb 4.85-5.01, 5 K 4.87-4.99
Rb  0.8631  0.8631  0.5232  7 Rb 4.85-5.01, 5 K 4.87-4.99
Pd  0.0000  0.0000  0.0000  6 K 3.21

No. 3
Compound: BaSrEuNbO6
Source: Alexandria
Functional: PBE
Structure: optimized geometry

energy above the lowest structure with this stoichiometry: 0.0000 eV/atom
raw formation energy: -2.801 eV/atom
total DFT energy (no corrections): -8.171 eV per atom

a b c (Å): 6.0211 6.0500 8.5278
angles (deg): 89.64 89.60 89.84
With the nearest neighbours (Å) after each atom.
Fractional positions:
Ba  0.0050  0.0228  0.2500  8 O 2.71-3.02
Ba  0.9950  0.9772  0.7500  8 O 2.71-3.02
Sr  0.4931  0.5312  0.2490  4 O 2.57-2.62
Sr  0.5069  0.4688  0.7510  4 O 2.57-2.62
Eu  0.0000  0.5000  0.0000  6 O 2.31-2.35
Eu  0.5000  0.0000  0.5000  6 O 2.31-2.34
Nb  0.0000  0.5000  0.5000  6 O 2.02-2.04
Nb  0.5000  0.0000  0.0000  6 O 2.02-2.05
O  0.0820  0.4956  0.7317  1 Nb 2.04
O  0.2045  0.7614  0.4673  1 Nb 2.02
O  0.2330  0.8007  0.0245  1 Nb 2.02
O  0.2630  0.2989  0.4516  1 Nb 2.04
O  0.3083  0.2718  0.0471  1 Nb 2.05
O  0.4399  0.0422  0.7680  1 Nb 2.03
O  0.5601  0.9578  0.2320  1 Nb 2.03
O  0.6917  0.7282  0.9529  1 Nb 2.05
O  0.7370  0.7011  0.5484  1 Nb 2.04
O  0.7670  0.1993  0.9755  1 Nb 2.02
O  0.7955  0.2386  0.5327  1 Nb 2.02
O  0.9180  0.5044  0.2683  1 Nb 2.04

No. 4
Compound: ZrZn2Pt
Source: Alexandria
Functional: PBE
Structure: optimized geometry

energy of formation from the pure elements: -107 kJ/mol of formula units
total DFT energy (no corrections): -4.560 eV per atom

a b c (Å): 5.4987 5.4987 2.7907
angles (deg): 100.69 100.69 119.54
With the nearest neighbours (Å) after each atom.
Fractional positions:
Zr  0.0000  0.0000  0.0000  2 Pt 2.77, 2 Zr 2.79, 4 Zn 2.84
Zn  0.0000  0.5000  0.5000  4 Zn 2.77-2.79, 2 Zr 2.84, 2 Pt 2.84
Zn  0.5000  0.0000  0.5000  4 Zn 2.77-2.79, 2 Zr 2.84, 2 Pt 2.84
Pt  0.5000  0.5000  0.0000  2 Zr 2.77, 2 Pt 2.79, 4 Zn 2.84

Question: Number 1 is which compound?
Answer: Bi2RhO6

Please write out number 4 again, unchanged.
Compound: ZrZn2Pt
Source: Alexandria
Functional: PBE
Structure: optimized geometry

energy of formation from the pure elements: -107 kJ/mol of formula units
total DFT energy (no corrections): -4.560 eV per atom

a b c (Å): 5.4987 5.4987 2.7907
angles (deg): 100.69 100.69 119.54
With the nearest neighbours (Å) after each atom.
Fractional positions:
Zr  0.0000  0.0000  0.0000  2 Pt 2.77, 2 Zr 2.79, 4 Zn 2.84
Zn  0.0000  0.5000  0.5000  4 Zn 2.77-2.79, 2 Zr 2.84, 2 Pt 2.84
Zn  0.5000  0.0000  0.5000  4 Zn 2.77-2.79, 2 Zr 2.84, 2 Pt 2.84
Pt  0.5000  0.5000  0.0000  2 Zr 2.77, 2 Pt 2.79, 4 Zn 2.84

Question: Number 3 is which compound?
Answer: BaSrEuNbO6